1.
CaAl2P after structural relaxation, computed with PBE-GGA.

a b c (Å): 3.3943 3.3943 6.9148
angles (deg): 90.00 90.00 90.00
Element x y z (fractional)
Ca: 0.0000 0.0000 0.0000
Al: 0.5000 0.5000 0.3179
Al: 0.5000 0.5000 0.6821
P: 0.0000 0.0000 0.5000

Properties
space-group type	P4/mmm (123)
ΔE_f	-181	meV per atom


2.
Ta2PtPb after structural relaxation, computed with PBE-GGA.

a b c (Å): 9.5837 9.5837 9.5837
angles (deg): 19.06 19.06 19.06
Element x y z (fractional)
Ta: 0.0000 0.0000 0.0000
Ta: 0.2545 0.2545 0.2545
Pt: 0.5199 0.5199 0.5199
Pb: 0.7603 0.7603 0.7603

Properties
space-group type	R3m (160)
ΔE_f	144	meV per atom


3.
CaPuZnCd after structural relaxation, computed with PBE-GGA.

a b c (Å): 5.2764 5.2764 5.2764
angles (deg): 60.00 60.00 60.00
Element x y z (fractional)
Ca: 0.0000 0.0000 0.0000
Pu: 0.5000 0.5000 0.5000
Zn: 0.7500 0.7500 0.7500
Cd: 0.2500 0.2500 0.2500

Properties
space-group type	F-43m (216)
ΔE_f	-73	meV per atom


4.
Si2SbTeAs after structural relaxation, computed with PBE-GGA.

a b c (Å): 5.2392 5.2392 5.2388
angles (deg): 90.00 90.00 90.00
Element x y z (fractional)
Si: 0.0000 0.5000 0.0000
Si: 0.5000 0.0000 0.0000
Sb: 0.0000 0.0000 0.0000
Te: 0.5000 0.5000 0.5000
As: 0.0000 0.0000 0.5000

Properties
space-group type	P4/mmm (123)
formation energy without anion corrections	1.114	eV/atom


E_tot? In order: -3.905 -8.219 -4.704 -3.438 eV/atom.
Total moment? In order: 0.0000 0.0000 1.5263 0.0000 μB/atom.